Record 1
The following is a PBE-GGA calculation of crystalline K2FeAg at its relaxed geometry, from the Alexandria database.

Results
* total magnetic moment: 2.983 μB per formula unit
* ΔE_f: 0.549 eV per atom
* distance to the lowest polymorph of the same formula: 0.0 kJ per mole of atoms

abc: 9.2717 9.2717 9.2717
angles: 28.06 28.06 28.06
With the nearest neighbours (Å) after each atom.
Positions (direct):
1 Ag 0.5417 0.5417 0.5417  3 Fe 2.60
2 Fe 0.2083 0.2083 0.2083  3 Ag 2.60
3 K 0.9647 0.9647 0.9647  3 Ag 3.53, 3 Fe 3.53
4 K 0.7852 0.7852 0.7852  3 Fe 3.53, 3 Ag 3.53

Record 2
The following is a PBE-GGA calculation of crystalline KFe3Ag at its relaxed geometry, from the Alexandria database.

Results
* total magnetic moment: 9.795 μB per formula unit
* ΔE_f: 1.402 eV per atom
* distance to the lowest polymorph of the same formula: 0.0 kJ per mole of atoms

abc: 4.9523 4.9523 4.9523
angles: 90.00 90.00 90.00
With the nearest neighbours (Å) after each atom.
Positions (direct):
1 K 0.5000 0.5000 0.5000  12 Fe 3.50
2 Fe 0.0000 0.5000 0.0000  2 Ag 2.48
3 Fe 0.0000 0.0000 0.5000  2 Ag 2.48
4 Fe 0.5000 0.0000 0.0000  2 Ag 2.48
5 Ag 0.0000 0.0000 0.0000  6 Fe 2.48

Record 3
The following is a PBE-GGA calculation of crystalline KFeAg2 at its relaxed geometry, from the Alexandria database.

Results
* total magnetic moment: 2.991 μB per formula unit
* ΔE_f: 0.499 eV per atom
* distance to the lowest polymorph of the same formula: 5.3 kJ per mole of atoms

abc: 4.6304 4.6304 7.3706
angles: 85.40 85.40 35.97
With the nearest neighbours (Å) after each atom.
Positions (direct):
1 Ag 0.0131 0.0131 0.9190  3 Fe 2.72-2.74, 4 Ag 2.86-2.90
2 Ag 0.4869 0.4869 0.5810  3 Fe 2.72-2.74, 4 Ag 2.86-2.90
3 Fe 0.7500 0.7500 0.7500  6 Ag 2.72-2.74, 2 Fe 2.86
4 K 0.2500 0.2500 0.2500  2 K 2.86

Total DFT energy (no corrections), record by record: -11.312 -22.326 -13.268 eV per cell